NdMn6Ge6 after structural relaxation. Source: the Alexandria database, functional GGA-PBE.

Calculated values
magnetization = 0.925 μB per atom
formation energy = -275 meV/atom
energy above the lowest structure with this stoichiometry = 2 meV/atom

Cell lengths 5.2095, 5.2095, 8.2172 Å; angles 90.00, 90.00, 120.00 degrees
Last column: magnetic moment on the atom in μB.
Positions (direct):
Mn: 0.5000 0.5000 0.2524  2.15
Mn: 0.5000 0.5000 0.7476  2.15
Mn: 0.0000 0.5000 0.7476  2.15
Ge: 0.3333 0.6667 0.5000  -0.11
Mn: 0.5000 0.0000 0.2524  2.15
Ge: 0.6667 0.3333 0.0000  -0.12
Mn: 0.5000 0.0000 0.7476  2.15
Ge: 0.0000 0.0000 0.3471  -0.10
Ge: 0.0000 0.0000 0.6529  -0.10
Nd: 0.0000 0.0000 0.0000  -0.19
Mn: 0.0000 0.5000 0.2524  2.15
Ge: 0.6667 0.3333 0.5000  -0.11
Ge: 0.3333 0.6667 0.0000  -0.12

***

Nd2MnNi3Ge4 after structural relaxation. Source: the Alexandria database, functional GGA-PBE.

Calculated values
magnetization = 0.290 μB per atom
formation energy = -628 meV/atom

Cell lengths 4.1439, 4.1439, 10.0266 Å; angles 90.00, 90.00, 90.00 degrees
Last column: magnetic moment on the atom in μB.
Positions (direct):
Ge: 0.5000 0.5000 0.0000  0.00
Ge: 0.0000 0.0000 0.0000  0.00
Ge: 0.5000 0.0000 0.6369  -0.08
Mn: 0.5000 0.5000 0.5000  3.07
Nd: 0.0000 0.5000 0.7561  0.00
Ni: 0.0000 0.5000 0.1221  -0.05
Nd: 0.5000 0.0000 0.2439  0.00
Ge: 0.0000 0.5000 0.3631  -0.08
Ni: 0.5000 0.0000 0.8779  -0.05
Ni: 0.0000 0.0000 0.5000  0.02

***

Nd2MnNi4Ge3 after structural relaxation. Source: the Alexandria database, functional GGA-PBE.

Calculated values
magnetization = 0.356 μB per atom
formation energy = -565 meV/atom

Cell lengths 4.1479, 4.1479, 9.7459 Å; angles 90.00, 90.00, 90.00 degrees
Last column: magnetic moment on the atom in μB.
Positions (direct):
Ni: 0.0000 0.0000 0.0000  -0.01
Ni: 0.5000 0.0000 0.6315  0.17
Nd: 0.0000 0.5000 0.7520  -0.03
Ni: 0.5000 0.5000 0.0000  -0.06
Nd: 0.5000 0.0000 0.2480  -0.03
Ni: 0.0000 0.5000 0.3685  0.17
Ge: 0.5000 0.0000 0.8749  0.00
Ge: 0.0000 0.5000 0.1251  0.00
Ge: 0.0000 0.0000 0.5000  -0.05
Mn: 0.5000 0.5000 0.5000  3.35

***

| no. | E (eV/atom) |
| --- | --- |
| 1 | -7.005 |
| 2 | -6.080 |
| 3 | -6.134 |